No. 1
Density functional theory data (PBE) for a relaxed Sr5LiTl4 crystal.

N(E_F) ... 0.950 states/eV per atom
E_form ... -0.343 eV/atom
ρ ... 6.0 g/cm3
Volume ... 349 Å³ per cell

```
Sr5LiTl4
1.0
4.1369 0.0000 0.0000
0.0000 4.1369 0.0000
0.0000 0.0000 20.3864
Sr Li Tl
5 1 4
direct
0.0000 0.0000 0.0000
0.0000 0.0000 0.1985
0.0000 0.0000 0.3926
0.0000 0.0000 0.6074
0.0000 0.0000 0.8015
0.5000 0.5000 0.5000
0.5000 0.5000 0.1008
0.5000 0.5000 0.2970
0.5000 0.5000 0.7030
0.5000 0.5000 0.8992
```

***

No. 2
Density functional theory data (PBE) for a relaxed TaFe2Ni crystal.

N(E_F) ... 1.291 states/eV per atom
E_form ... -0.010 eV/atom
ρ ... 11.3 g/cm3
Volume ... 51 Å³ per cell

```
TaFe2Ni
1.0
3.0986 0.0000 0.0000
0.0000 3.0986 0.0000
0.0000 0.0000 5.3624
Ta Fe Ni
1 2 1
direct
0.0000 0.0000 0.0000
0.5000 0.5000 0.2681
0.5000 0.5000 0.7319
0.0000 0.0000 0.5000
```

***

No. 3
Density functional theory data (PBE) for a relaxed FeAsRh2Cl crystal.

Uncorrected formation energy ... 556 kJ/mol of formula units
N(E_F) ... 1.555 states/eV per atom
ρ ... 6.6 g/cm3
Volume ... 93 Å³ per cell

```
FeAsRh2Cl
1.0
4.3642 0.0000 0.0000
0.0000 4.3642 0.0000
0.0000 0.0000 4.8784
Fe As Rh Cl
1 1 2 1
direct
0.0000 0.0000 0.0000
0.5000 0.5000 0.0000
0.0000 0.5000 0.5000
0.5000 0.0000 0.5000
0.5000 0.5000 0.5000
```

***

No. 4
Density functional theory data (PBE) for a relaxed Na2CuPdF8 crystal.

Uncorrected formation energy ... -2179 kJ/mol of formula units
ρ ... 3.7 g/cm3
Volume ... 167 Å³ per cell

```
Na2CuPdF8
1.0
4.9967 0.0000 0.0000
0.0000 6.6824 0.0000
-0.3570 0.0000 4.9928
Na Cu Pd F
2 1 1 8
direct
0.0000 0.2412 0.0000
0.0000 0.7588 0.0000
0.5000 0.0000 0.5000
0.5000 0.5000 0.5000
0.2114 0.5000 0.2185
0.2268 0.0000 0.2313
0.3289 0.2747 0.6759
0.3289 0.7253 0.6759
0.6711 0.2747 0.3241
0.6711 0.7253 0.3241
0.7732 0.0000 0.7687
0.7886 0.5000 0.7815
```

***

No. 5
Density functional theory data (PBE) for a relaxed SiSeCl crystal.

Uncorrected formation energy ... -96 kJ/mol of formula units
N(E_F) ... 0.523 states/eV per atom
Relative energy among the computed polymorphs ... 237 meV per atom
ρ ... 3.2 g/cm3
Volume ... 75 Å³ per cell

```
SiSeCl
1.0
3.5757 0.0000 0.0000
-1.7878 3.0966 0.0000
0.0000 0.0000 6.7607
Si Se Cl
1 1 1
direct
0.0000 0.0000 0.0000
0.3333 0.6667 0.8012
0.6667 0.3333 0.2416
```

***

No. 6
Density functional theory data (PBE) for a relaxed KCrTc2 crystal.

N(E_F) ... 0.879 states/eV per atom
Relative energy among the computed polymorphs ... 362 meV per atom
E_form ... 1.110 eV/atom
ρ ... 6.7 g/cm3
Volume ... 71 Å³ per cell

```
KCrTc2
1.0
-1.3547 2.6008 5.0729
1.3547 -2.6008 5.0729
1.3547 2.6008 -5.0729
K Cr Tc
1 1 2
direct
0.0000 0.0000 0.0000
0.5000 0.5000 0.0000
0.2903 0.7903 0.5000
0.7097 0.2097 0.5000
```